This record from Alexandria via LeMat-Bulk describes CaCr2W after structural relaxation. The functional is GGA-PBE.

The structure belongs to space group Cmmm (No. 65); the cell edges are 3.169, 4.505 and 9.133 Å and the angles 90.00°, 90.00° and 90.00°. The distinct sites, in fractional coordinates, are Ca at (0.000, 0.000, 0.000), Cr at (0.000, 0.500, 0.283) and W at (0.000, 0.000, 0.500).

Its formation energy from the elements is 0.742 eV/atom. For the calculated total energy, the calculation gives -7.808 eV/atom. The calculation puts the total magnetization at 0.00 μB per formula unit. The energy above the most stable polymorph in this dataset comes out at 0.80 eV/f.u.